A plane-wave DFT calculation with PBE was carried out for crystalline CaRh2Au at its relaxed geometry. Values from VASP.

Results
VASP energy = -39.5 eV for the cell shown
ΔH_f (0 K) = 0.21 eV/f.u.
Mass density = 8.987 g/cm3
Crystal system = tetragonal
Space-group type = I-42d (122)

Cell and atoms, written as Quantum ESPRESSO input:
```
&SYSTEM
  ibrav = 0, nat = 8, ntyp = 3
/
ATOMIC_SPECIES
Rh 102.91 Rh.upf
Au 196.97 Au.upf
Ca 40.08 Ca.upf
CELL_PARAMETERS angstrom
-1.564 0.661 -3.752
1.476 -3.634 -1.255
-8.272 -5.753 0.174
ATOMIC_POSITIONS angstrom
Rh -1.219 -3.679 -0.917
Au 0.000 0.000 0.000
Ca -0.044 -1.487 -2.504
Rh -2.983 -1.428 -2.752
Rh -6.166 -7.201 -4.349
Ca -3.420 -5.437 -1.792
Au -4.940 -3.289 -3.041
Rh -6.353 -5.146 -1.649
```



A plane-wave DFT calculation with PBE was carried out for crystalline CaPm5Rh2 at its relaxed geometry. Values from VASP.

Results
VASP energy = -43.2 eV for the cell shown
ΔH_f (0 K) = -2.74 eV/f.u.
Mass density = 6.443 g/cm3
Crystal system = orthorhombic
Space-group type = Immm (71)

Cell and atoms, written as Quantum ESPRESSO input:
```
&SYSTEM
  ibrav = 0, nat = 8, ntyp = 3
/
ATOMIC_SPECIES
Pm 145.00 Pm.upf
Rh 102.91 Rh.upf
Ca 40.08 Ca.upf
CELL_PARAMETERS angstrom
-4.008 -1.371 0.869
-0.101 -8.277 -2.768
1.170 -7.239 4.734
ATOMIC_POSITIONS angstrom
Pm -1.955 -5.999 3.038
Pm -2.562 -6.495 -0.543
Pm -0.378 -10.393 3.379
Rh -2.479 -11.900 2.067
Rh -0.460 -4.987 0.768
Pm -0.985 -10.888 -0.202
Pm 0.535 -7.758 0.983
Ca 0.000 0.000 0.000
```



A plane-wave DFT calculation with PBE was carried out for crystalline PRu2Br at its relaxed geometry. Values from VASP.

Results
VASP energy = -49.2 eV for the cell shown
Energy above the lowest structure with this stoichiometry = 370 meV/atom
Mass density = 6.501 g/cm3
ΔE_f (raw) = 265 meV per atom
Crystal system = tetragonal
Space-group type = I-42d (122)

Cell and atoms, written as Quantum ESPRESSO input:
```
&SYSTEM
  ibrav = 0, nat = 8, ntyp = 3
/
ATOMIC_SPECIES
Br 79.90 Br.upf
P 30.97 P.upf
Ru 101.07 Ru.upf
CELL_PARAMETERS angstrom
5.365 0.000 0.000
0.000 5.365 0.000
2.682 2.682 5.556
ATOMIC_POSITIONS angstrom
Br 5.365 2.682 2.778
P 2.682 5.365 2.778
Ru 1.604 4.024 1.389
Br 0.000 0.000 0.000
Ru 4.024 4.287 4.167
Ru 3.761 1.341 1.389
Ru 6.706 6.443 4.167
P 2.682 2.682 0.000
```



A plane-wave DFT calculation with PBE was carried out for crystalline TaMn at its relaxed geometry. Values from VASP.

Results
VASP energy = -125.5 eV for the cell shown
ΔH_f (0 K) = 0.11 eV/f.u.
Mass density = 13.318 g/cm3
Crystal system = orthorhombic
Space-group type = Pmn2_1 (31)

Cell and atoms, written as Quantum ESPRESSO input:
```
&SYSTEM
  ibrav = 0, nat = 12, ntyp = 2
/
ATOMIC_SPECIES
Mn 54.94 Mn.upf
Ta 180.95 Ta.upf
CELL_PARAMETERS angstrom
-2.467 13.287 3.128
-2.755 -0.398 -0.483
-0.594 -1.127 4.320
ATOMIC_POSITIONS angstrom
Mn -3.929 10.617 5.176
Mn -2.322 4.548 1.466
Mn -2.115 0.847 2.876
Mn -0.661 -0.586 1.968
Ta -3.430 3.032 3.323
Ta -4.381 8.152 4.528
Mn -2.975 8.065 2.293
Ta -2.538 10.503 3.048
Ta -1.021 2.336 1.125
Mn -4.184 5.206 5.343
Ta -2.275 5.976 3.579
Ta -2.601 -1.414 3.954
```



A plane-wave DFT calculation with PBE was carried out for crystalline SbPbCl2 at its relaxed geometry. Values from VASP.

Results
VASP energy = -13.2 eV for the cell shown
Energy above the lowest structure with this stoichiometry = 107 meV/atom
Mass density = 6.299 g/cm3
ΔE_f (raw) = -429 meV per atom
Crystal system = orthorhombic
Space-group type = Pmmm (47)

Cell and atoms, written as Quantum ESPRESSO input:
```
&SYSTEM
  ibrav = 0, nat = 4, ntyp = 3
/
ATOMIC_SPECIES
Sb 121.76 Sb.upf
Cl 35.45 Cl.upf
Pb 207.20 Pb.upf
CELL_PARAMETERS angstrom
3.501 0.000 0.000
0.000 6.203 0.000
0.000 0.000 4.855
ATOMIC_POSITIONS angstrom
Sb 0.000 3.101 2.427
Cl 1.750 3.101 0.000
Pb 1.750 0.000 2.427
Cl 0.000 0.000 0.000
```



A plane-wave DFT calculation with PBE was carried out for crystalline KSmSeS at its relaxed geometry. Values from VASP.

Results
VASP energy = -20.7 eV for the cell shown
Mass density = 4.287 g/cm3
ΔE_f (raw) = -1809 meV per atom
Crystal system = trigonal
Space-group type = R3m (160)

Cell and atoms, written as Quantum ESPRESSO input:
```
&SYSTEM
  ibrav = 0, nat = 4, ntyp = 4
/
ATOMIC_SPECIES
Se 78.96 Se.upf
Sm 150.36 Sm.upf
S 32.06 S.upf
K 39.10 K.upf
CELL_PARAMETERS angstrom
-2.681 -0.006 -3.259
-4.115 -0.671 0.654
-3.338 7.194 0.000
ATOMIC_POSITIONS angstrom
Se -2.490 1.326 -0.687
Sm -3.327 7.117 -0.009
S -7.649 5.223 -1.914
K -5.073 3.303 -1.297
```